This record from Alexandria describes a geometry-optimized MgFe2Si4O12 structure. The functional is PBE with a Hubbard U.

Output
Space-group type = Pca2_1
N(E_F) = 0.000 states/eV per cell
E = -7.347 eV/atom

```
76
Lattice="18.714 0.000 0.000 0.000 5.032 0.000 0.000 0.000 11.158" Properties=species:S:1:pos:R:3 pbc="T T T"
Mg 2.340 1.056 0.000
Mg 7.017 1.056 5.579
Mg 11.697 3.976 0.000
Mg 16.373 3.976 5.579
Fe 2.354 1.002 8.262
Fe 2.358 3.565 2.149
Fe 7.003 1.002 2.683
Fe 6.999 3.565 7.728
Fe 11.715 1.467 2.149
Fe 11.711 4.030 8.262
Fe 16.356 1.467 7.728
Fe 16.360 4.030 2.683
Si 0.343 0.008 4.336
Si 0.336 2.542 6.102
Si 4.321 1.953 4.347
Si 4.321 4.495 6.127
Si 5.036 1.953 9.926
Si 5.036 4.495 0.548
Si 9.014 0.008 9.915
Si 9.020 2.542 0.523
Si 9.693 2.490 6.102
Si 9.700 5.024 4.336
Si 13.678 0.537 6.127
Si 13.678 3.079 4.347
Si 14.392 0.537 0.548
Si 14.393 3.079 9.926
Si 18.377 2.490 0.523
Si 18.371 5.024 9.915
O 0.576 1.553 4.814
O 0.716 4.064 5.614
O 1.211 4.717 3.012
O 1.232 2.134 7.363
O 1.272 0.230 9.685
O 1.291 2.465 0.916
O 3.410 1.871 9.664
O 3.410 4.689 0.903
O 3.445 4.811 7.437
O 3.487 2.406 3.042
O 3.906 0.448 4.875
O 4.095 2.951 5.634
O 5.262 2.951 0.055
O 5.451 0.448 10.454
O 5.870 2.406 8.621
O 5.912 4.811 1.858
O 5.947 1.871 4.085
O 5.947 4.689 6.482
O 8.066 2.465 6.495
O 8.085 0.230 4.107
O 8.125 2.134 1.784
O 8.146 4.717 8.591
O 8.641 4.064 0.035
O 8.781 1.553 10.393
O 9.933 3.478 4.814
O 10.073 0.968 5.614
O 10.568 0.314 3.012
O 10.589 2.898 7.363
O 10.629 4.802 9.685
O 10.648 2.567 0.916
O 12.766 0.343 0.903
O 12.767 3.161 9.664
O 12.802 0.220 7.437
O 12.844 2.626 3.042
O 13.263 4.584 4.875
O 13.452 2.081 5.634
O 14.619 2.081 0.055
O 14.808 4.584 10.454
O 15.227 2.626 8.621
O 15.269 0.220 1.858
O 15.304 0.343 6.482
O 15.304 3.161 4.085
O 17.423 2.567 6.495
O 17.442 4.802 4.107
O 17.481 2.898 1.784
O 17.503 0.314 8.591
O 17.998 0.968 0.035
O 18.138 3.478 10.393
```